(1)
{
  "formula": "KTa2Zn",
  "functional": "GGA-PBE",
  "state": "relaxed",
  "dos_at_fermi_per_ev_atom": 1.26,
  "e_tot_ev_per_cell": -23.0,
  "space_group": "Cmmm (65)",
  "formation_enthalpy_0k_mev_per_atom": 772,
  "cell": [[1.6053, -2.3035, 0.0000], [1.6053, 2.3035, 0.0000], [0.0000, 0.0000, 11.2426]],
  "species": ["K", "Ta", "Ta", "Zn"],
  "fractional_positions": [[0.0000, 0.0000, 0.0000], [0.5000, 0.5000, 0.2941], [0.5000, 0.5000, 0.7059], [0.0000, 0.0000, 0.5000]]
}

=====

(2)
{
  "formula": "KTaZn",
  "functional": "GGA-PBE",
  "state": "relaxed",
  "dos_at_fermi_per_ev_atom": 0.69,
  "e_tot_ev_per_cell": -25.8,
  "space_group": "P1 (1)",
  "formation_enthalpy_0k_mev_per_atom": 434,
  "cell": [[3.8322, 0.0000, 0.0000], [0.0005, 3.8681, 0.0000], [1.8158, 0.0419, 12.7047]],
  "species": ["K", "K", "Ta", "Ta", "Zn", "Zn"],
  "fractional_positions": [[0.0000, 0.0000, 0.0000], [0.3127, 0.4990, 0.3311], [0.1894, 0.9996, 0.5946], [0.6896, 0.4996, 0.5941], [0.1123, 0.4977, 0.7571], [0.6125, 0.9975, 0.7570]]
}

=====

(3)
{
  "formula": "KTaZn",
  "functional": "GGA-PBE",
  "state": "relaxed",
  "dos_at_fermi_per_ev_atom": 0.83,
  "e_tot_ev_per_cell": -10.1,
  "space_group": "P-6m2 (187)",
  "formation_enthalpy_0k_mev_per_atom": 1360,
  "cell": [[4.3505, 0.0000, 0.0000], [-2.1753, 3.7677, 0.0000], [0.0000, 0.0000, 5.8543]],
  "species": ["K", "Ta", "Zn"],
  "fractional_positions": [[0.0000, 0.0000, 0.0000], [0.6667, 0.3333, 0.5000], [0.3333, 0.6667, 0.5000]]
}

=====

(4)
{
  "formula": "KTaZn",
  "functional": "GGA-PBE",
  "state": "relaxed",
  "dos_at_fermi_per_ev_atom": 0.52,
  "e_tot_ev_per_cell": -26.7,
  "space_group": "P2_1/m (11)",
  "formation_enthalpy_0k_mev_per_atom": 293,
  "cell": [[3.0833, 0.0000, 0.0000], [0.0000, 3.8365, 0.0000], [-0.6658, 0.0000, 13.3417]],
  "species": ["K", "K", "Ta", "Ta", "Zn", "Zn"],
  "fractional_positions": [[0.1760, 0.2500, 0.1554], [0.8240, 0.7500, 0.8446], [0.2359, 0.2500, 0.4395], [0.7641, 0.7500, 0.5605], [0.2853, 0.2500, 0.6573], [0.7147, 0.7500, 0.3427]]
}